(1)
First-principles (PBE) data for crystalline TbNd12Tm5 at its relaxed geometry, as listed in Alexandria via LeMat-Bulk.

Properties
E   -83.774 eV for the cell shown
Space group   P2/m, No. 10
ΔH_f (0 K)   23.8 meV per atom
Crystal system   monoclinic
Spin magnetization   0.00 μB per atom

Cell lengths 15.2995, 10.8468, 5.1364 Å; angles 90.00, 90.00, 45.25 degrees
Closest atoms and distances in Å follow each position.
Element x y z (fractional)
1 Nd 0.3360 0.0002 0.0001  4 Tm 3.59-3.60, 8 Nd 3.63-3.67
2 Nd 0.8345 0.0001 0.5000  2 Tm 3.60-3.61, 2 Tb 3.61, 8 Nd 3.63-3.66
3 Nd 0.8310 0.6666 0.5000  4 Tm 3.59-3.60, 8 Nd 3.63-3.67
4 Nd 0.6682 0.3338 0.0000  3 Tm 3.59-3.60, 1 Tb 3.61, 8 Nd 3.63-3.67
5 Nd 0.1690 0.3334 0.5000  4 Tm 3.59-3.60, 8 Nd 3.63-3.67
6 Nd 0.5022 0.6668 0.5000  4 Tm 3.59, 8 Nd 3.63-3.67
7 Nd 0.6640 0.9998 0.9999  4 Tm 3.59-3.60, 8 Nd 3.63-3.67
8 Nd 0.9982 0.3335 0.0000  1 Tb 3.60, 3 Tm 3.60, 8 Nd 3.63-3.67
9 Nd 0.1655 0.9999 0.5000  2 Tm 3.60-3.61, 2 Tb 3.61, 8 Nd 3.63-3.66
10 Nd 0.3318 0.6662 0.0000  3 Tm 3.59-3.60, 1 Tb 3.61, 8 Nd 3.63-3.67
11 Nd 0.4978 0.3332 0.5000  4 Tm 3.59, 8 Nd 3.63-3.67
12 Nd 0.0018 0.6665 0.0000  1 Tb 3.60, 3 Tm 3.60, 8 Nd 3.63-3.67
13 Tm 0.5000 0.0000 0.5000  8 Nd 3.59-3.60, 4 Tm 3.63
14 Tm 0.8331 0.3339 0.5000  8 Nd 3.59-3.61, 2 Tm 3.63, 2 Tb 3.63
15 Tm 0.6669 0.6662 0.0000  8 Nd 3.59-3.60, 4 Tm 3.63
16 Tm 0.3331 0.3338 0.0000  8 Nd 3.59-3.60, 4 Tm 3.63
17 Tm 0.1669 0.6661 0.5000  8 Nd 3.59-3.61, 2 Tm 3.63, 2 Tb 3.63
18 Tb 0.0000 0.0000 0.0000  8 Nd 3.60-3.61, 4 Tm 3.63

(2)
First-principles (PBE) data for crystalline Ba2VCd2 at its relaxed geometry, as listed in Alexandria via LeMat-Bulk.

Properties
E   -13.069 eV for the cell shown
Space group   I4/mmm, No. 139
ΔH_f (0 K)   345.0 meV per atom
Crystal system   tetragonal
Spin magnetization   0.82 μB per atom
Energy relative to the lowest polymorph listed for this composition   10.74 kJ per mole of atoms

Cell lengths 6.7170, 6.7170, 6.3736 Å; angles 58.20, 58.20, 90.00 degrees
Closest atoms and distances in Å follow each position.
Element x y z (fractional)
1 Cd 0.3381 0.3381 0.3238  1 Cd 2.75, 1 V 2.87
2 Cd 0.6619 0.6619 0.6762  1 Cd 2.75, 1 V 2.87
3 V 0.0000 0.0000 0.0000  2 Cd 2.87
4 Ba 0.2500 0.7500 0.5000  4 Cd 3.44
5 Ba 0.7500 0.2500 0.5000  4 Cd 3.44

(3)
First-principles (PBE) data for crystalline Pr3Ge2Ir3 at its relaxed geometry, as listed in Alexandria via LeMat-Bulk.

Properties
E   -111.558 eV for the cell shown
Space group   Cmcm, No. 63
ΔH_f (0 K)   -702.8 meV per atom
Crystal system   orthorhombic
Spin magnetization   0.00 μB per atom

Cell lengths 4.2791, 5.7117, 15.4600 Å; angles 90.00, 90.00, 112.00 degrees
Closest atoms and distances in Å follow each position.
Element x y z (fractional)
1 Ge 0.7819 0.5638 0.6010  4 Ir 2.50-2.61
2 Ge 0.2181 0.4362 0.1010  4 Ir 2.50-2.61
3 Ge 0.7819 0.5638 0.8990  4 Ir 2.50-2.61
4 Ge 0.2181 0.4362 0.3990  4 Ir 2.50-2.61
5 Ir 0.3569 0.7139 0.9653  3 Ge 2.50-2.56
6 Ir 0.6431 0.2861 0.4653  3 Ge 2.50-2.56
7 Ir 0.6431 0.2861 0.0347  3 Ge 2.50-2.56
8 Ir 0.3332 0.6664 0.2500  2 Ge 2.61
9 Ir 0.3569 0.7139 0.5347  3 Ge 2.50-2.56
10 Ir 0.6668 0.3336 0.7500  2 Ge 2.61
11 Pr 0.9273 0.8545 0.3925  3 Ge 3.08, 7 Ir 3.16-3.33
12 Pr 0.6387 0.2774 0.2500  3 Ir 2.97-3.24, 4 Ge 3.25
13 Pr 0.9273 0.8545 0.1075  3 Ge 3.08, 7 Ir 3.16-3.33
14 Pr 0.0727 0.1455 0.6075  3 Ge 3.08, 7 Ir 3.16-3.33
15 Pr 0.3613 0.7226 0.7500  3 Ir 2.97-3.24, 4 Ge 3.25
16 Pr 0.0727 0.1455 0.8925  3 Ge 3.08, 7 Ir 3.16-3.33

(4)
First-principles (PBE) data for crystalline Tm2FeAuC at its relaxed geometry, as listed in Alexandria via LeMat-Bulk.

Properties
E   -32.704 eV for the cell shown
Space group   P4/mmm, No. 123
ΔH_f (0 K)   -559.5 meV per atom
Crystal system   tetragonal
Spin magnetization   0.05 μB per atom

Cell lengths 3.6510, 4.9068, 4.9068 Å; angles 90.00, 90.00, 90.00 degrees
Closest atoms and distances in Å follow each position.
Element x y z (fractional)
1 Tm 0.0000 0.0000 0.5000  2 C 2.45
2 Tm 0.0000 0.5000 0.0000  2 C 2.45
3 Au 0.5000 0.5000 0.5000  8 Tm 3.06
4 C 0.0000 0.0000 0.0000  2 Fe 1.83
5 Fe 0.5000 0.0000 0.0000  2 C 1.83

(5)
First-principles (PBE) data for crystalline NaSi2GeO6 at its relaxed geometry, as listed in Alexandria via LeMat-Bulk.

Properties
E   -137.553 eV for the cell shown
Space group   C2/c, No. 15
Formation energy without anion corrections   -215 kJ/mol of atoms
Crystal system   monoclinic
Spin magnetization   0.10 μB per atom

Cell lengths 5.4394, 7.0428, 7.0428 Å; angles 87.53, 76.13, 76.13 degrees
Closest atoms and distances in Å follow each position.
Element x y z (fractional)
1 Si 0.7061 0.1980 0.3740  4 O 1.63-1.65
2 Si 0.2939 0.8020 0.6260  4 O 1.63-1.65
3 Si 0.7939 0.6260 0.8020  4 O 1.63-1.65
4 Si 0.2061 0.3740 0.1980  4 O 1.63-1.65
5 O 0.9528 0.3044 0.3376  2 Si 1.65
6 O 0.5472 0.6624 0.6956  2 Si 1.65
7 O 0.1818 0.9998 0.7679  1 Si 1.65
8 O 0.3182 0.2321 0.0002  1 Si 1.65
9 O 0.6818 0.7679 0.9998  1 Si 1.65
10 O 0.3834 0.8488 0.3943  1 Si 1.63
11 O 0.8834 0.3943 0.8488  1 Si 1.63
12 O 0.4528 0.3376 0.3044  2 Si 1.65
13 O 0.6166 0.1512 0.6057  1 Si 1.63
14 O 0.1166 0.6057 0.1512  1 Si 1.63
15 O 0.0472 0.6956 0.6624  2 Si 1.65
16 O 0.8182 0.0002 0.2321  1 Si 1.65
17 Ge 0.7500 0.7506 0.2494  4 O 1.88-1.98
18 Ge 0.2500 0.2494 0.7506  4 O 1.88-1.98
19 Na 0.7500 0.0993 0.9007  6 O 2.26-2.49
20 Na 0.2500 0.9007 0.0993  6 O 2.26-2.49

(6)
First-principles (PBE) data for crystalline Zr2ReMoH at its relaxed geometry, as listed in Alexandria via LeMat-Bulk.

Properties
E   -44.392 eV for the cell shown
Space group   P4/mmm, No. 123
Crystal system   tetragonal
Spin magnetization   0.00 μB per atom

Cell lengths 4.6603, 4.6603, 3.5161 Å; angles 90.00, 90.00, 90.00 degrees
Closest atoms and distances in Å follow each position.
Element x y z (fractional)
1 Zr 0.5000 0.0000 0.0000  2 H 2.33
2 Zr 0.0000 0.5000 0.0000  2 H 2.33
3 H 0.0000 0.0000 0.0000  2 Mo 1.76
4 Re 0.5000 0.5000 0.5000  8 Zr 2.92
5 Mo 0.0000 0.0000 0.5000  2 H 1.76

(7)
First-principles (PBE) data for crystalline NaTh2Tl3 at its relaxed geometry, as listed in Alexandria via LeMat-Bulk.

Properties
E   -23.951 eV for the cell shown
Space group   P4/mmm, No. 123
ΔH_f (0 K)   -115.7 meV per atom
Crystal system   tetragonal
Spin magnetization   0.00 μB per atom

Cell lengths 3.5720, 3.5720, 13.4605 Å; angles 90.00, 90.00, 90.00 degrees
Closest atoms and distances in Å follow each position.
Element x y z (fractional)
1 Tl 0.0000 0.0000 0.3429  4 Na 3.29, 4 Th 3.42, 4 Tl 3.57
2 Tl 0.0000 0.0000 0.6571  4 Na 3.29, 4 Th 3.42, 4 Tl 3.57
3 Tl 0.0000 0.0000 0.0000  8 Th 3.42, 4 Tl 3.57
4 Th 0.5000 0.5000 0.8287  8 Tl 3.42, 4 Th 3.57
5 Th 0.5000 0.5000 0.1713  8 Tl 3.42, 4 Th 3.57
6 Na 0.5000 0.5000 0.5000  8 Tl 3.29, 4 Na 3.57

(8)
First-principles (PBE) data for crystalline Bi5Sb2Pb12 at its relaxed geometry, as listed in Alexandria via LeMat-Bulk.

Properties
E   -70.957 eV for the cell shown
Space group   C2/m, No. 12
Formation energy without anion corrections   6 kJ/mol of atoms
Crystal system   monoclinic
Spin magnetization   0.00 μB per atom
Energy relative to the lowest polymorph listed for this composition   0.22 kJ per mole of atoms

Cell lengths 8.9739, 9.4246, 8.8580 Å; angles 101.73, 90.00, 118.43 degrees
Closest atoms and distances in Å follow each position.
Element x y z (fractional)
1 Pb 0.4176 0.2263 0.5560  4 Bi 3.28-3.55, 6 Pb 3.51-3.65
2 Pb 0.1076 0.2152 0.8556  2 Sb 3.14, 2 Bi 3.24-3.35
3 Pb 0.4804 0.3775 0.2008  1 Sb 3.28, 4 Bi 3.36-3.60, 3 Pb 3.59-3.65
4 Pb 0.5196 0.6225 0.7992  1 Sb 3.28, 4 Bi 3.36-3.60, 3 Pb 3.59-3.65
5 Pb 0.1913 0.7737 0.4440  4 Bi 3.28-3.55, 6 Pb 3.51-3.65
6 Pb 0.5824 0.7737 0.4440  4 Bi 3.28-3.55, 6 Pb 3.51-3.65
7 Pb 0.5050 0.0100 0.2253  2 Sb 3.18, 1 Bi 3.42, 4 Pb 3.52-3.53
8 Pb 0.8924 0.7848 0.1444  2 Sb 3.14, 2 Bi 3.24-3.35
9 Pb 0.4950 0.9900 0.7747  2 Sb 3.18, 1 Bi 3.42, 4 Pb 3.52-3.53
10 Pb 0.1029 0.6225 0.7992  1 Sb 3.28, 4 Bi 3.36-3.60, 3 Pb 3.59-3.65
11 Pb 0.8971 0.3775 0.2008  1 Sb 3.28, 4 Bi 3.36-3.60, 3 Pb 3.59-3.65
12 Pb 0.8087 0.2263 0.5560  4 Bi 3.28-3.55, 6 Pb 3.51-3.65
13 Bi 0.7063 0.4127 0.8953  8 Pb 3.35-3.51
14 Bi 0.7927 0.5854 0.5147  8 Pb 3.28-3.60, 1 Bi 3.47
15 Bi 0.0000 0.0000 0.5000  6 Pb 3.24-3.29, 2 Bi 3.47
16 Bi 0.2937 0.5873 0.1047  8 Pb 3.35-3.51
17 Bi 0.2073 0.4146 0.4853  8 Pb 3.28-3.60, 1 Bi 3.47
18 Sb 0.7769 0.0000 0.0000  6 Pb 3.14-3.28
19 Sb 0.2231 0.0000 0.0000  6 Pb 3.14-3.28

(9)
First-principles (PBE) data for crystalline Pu2GeIr at its relaxed geometry, as listed in Alexandria via LeMat-Bulk.

Properties
E   -87.853 eV for the cell shown
Space group   P2_1/m, No. 11
ΔH_f (0 K)   -446.1 meV per atom
Crystal system   monoclinic
Spin magnetization   0.01 μB per atom

Cell lengths 4.0181, 5.6596, 8.5157 Å; angles 112.04, 90.00, 90.00 degrees
Closest atoms and distances in Å follow each position.
Element x y z (fractional)
1 Ir 0.7500 0.6772 0.7923  2 Ge 2.67, 5 Pu 2.86-2.91
2 Ir 0.2500 0.3228 0.2077  2 Ge 2.67, 5 Pu 2.86-2.91
3 Pu 0.2500 0.7787 0.0564  3 Ir 2.86-2.91, 3 Ge 3.06-3.08
4 Pu 0.7500 0.2213 0.9436  3 Ir 2.86-2.91, 3 Ge 3.06-3.08
5 Pu 0.2500 0.7746 0.5834  2 Ir 2.87, 4 Ge 2.98-3.07
6 Pu 0.7500 0.2254 0.4166  2 Ir 2.87, 4 Ge 2.98-3.07
7 Ge 0.7500 0.6580 0.2907  2 Ir 2.67, 1 Pu 2.98
8 Ge 0.2500 0.3420 0.7093  2 Ir 2.67, 1 Pu 2.98

(10)
First-principles (PBE) data for crystalline La4TeP2S at its relaxed geometry, as listed in Alexandria via LeMat-Bulk.

Properties
E   -51.878 eV for the cell shown
Space group   P2/m, No. 10
Formation energy without anion corrections   -170 kJ/mol of atoms
Crystal system   monoclinic
Spin magnetization   0.00 μB per atom

Cell lengths 4.3017, 7.5708, 7.4677 Å; angles 70.87, 90.00, 90.00 degrees
Closest atoms and distances in Å follow each position.
Element x y z (fractional)
1 La 0.0000 0.2259 0.2687  3 P 2.93-3.03, 1 S 3.10, 2 Te 3.20
2 La 0.0000 0.7741 0.7313  3 P 2.93-3.03, 1 S 3.10, 2 Te 3.20
3 La 0.5000 0.7666 0.2547  3 P 2.93-3.03, 2 S 3.10, 1 Te 3.19
4 La 0.5000 0.2334 0.7453  3 P 2.93-3.03, 2 S 3.10, 1 Te 3.19
5 Te 0.5000 0.5000 0.0000  6 La 3.19-3.20
6 P 0.5000 0.0000 0.5000  6 La 2.93
7 P 0.0000 0.0000 0.0000  6 La 3.03
8 S 0.0000 0.5000 0.5000  6 La 3.10